Zr2IrRu | PBEsol | relaxed

Computed properties:
E	-40.18	eV/cell
ΔE_f	-48	kJ per mole of atoms

Cell lengths 5.464, 5.464, 5.464 Å; angles 143.69, 133.97, 60.00 degrees
Fractional positions:
1 Zr 0.000 0.000 0.000
2 Zr 0.742 0.242 0.500
3 Ir 0.241 0.741 0.500
4 Ru 0.504 0.504 0.000